A plane-wave DFT calculation with SCAN was carried out for a crystal of Y2MgPd2 relaxed with PBEsol.

As for the formation energy: -0.8770 eV per atom. As for the electronic total energy: -261.19 eV/cell. The magnetic moment comes out at 0.0 μB/cell.

The space group is P4/mbm (No. 127) and the conventional cell measures 7.582, 7.582 and 3.756 Å, with angles of 90.00, 90.00 and 90.00 degrees. The inequivalent atoms are Y at (0.168, 0.332, 0.000), Mg at (0.000, 0.000, 0.500) and Pd at (0.132, 0.632, 0.500).

---

A plane-wave DFT calculation with SCAN was carried out for a crystal of YMgPd relaxed with PBEsol.

As for the formation energy: -0.8020 eV per atom. As for the electronic total energy: -203.99 eV/cell. The magnetic moment comes out at 0.0 μB/cell.

The space group is P-62m (No. 189) and the conventional cell measures 7.3603, 7.3603 and 4.0363 Å, with angles of 90.00, 90.00 and 120.00 degrees. The inequivalent atoms are Y at (0.0000, 0.5883, 0.0000), Mg at (0.0000, 0.2453, 0.5000), Pd at (0.0000, 0.0000, 0.0000) and Pd at (0.3333, 0.6667, 0.5000).

---

A plane-wave DFT calculation with SCAN was carried out for a crystal of Y4MgPd relaxed with PBEsol.

As for the formation energy: -0.4357 eV per atom. As for the electronic total energy: -2427.74 eV/cell. The magnetic moment comes out at 8.9 μB/cell.

The space group is F-43m (No. 216) and the conventional cell measures 13.677, 13.677 and 13.677 Å, with angles of 90.00, 90.00 and 90.00 degrees. The inequivalent atoms are Y at (0.000, 0.000, 0.184), Y at (0.061, 0.250, 0.750), Y at (0.100, 0.100, 0.400), Mg at (0.170, 0.170, 0.170) and Pd at (0.107, 0.107, 0.607).

---

A plane-wave DFT calculation with SCAN was carried out for a crystal of MgZn2Pd2 relaxed with PBEsol.

As for the formation energy: -0.5033 eV per atom. As for the electronic total energy: -200.14 eV/cell. The magnetic moment comes out at 0.0 μB/cell.

The space group is P4/mbm (No. 127) and the conventional cell measures 7.275, 7.275 and 2.888 Å, with angles of 90.00, 90.00 and 90.00 degrees. The inequivalent atoms are Mg at (0.000, 0.000, 0.000), Zn at (0.151, 0.349, 0.500) and Pd at (0.145, 0.645, 0.000).

---

A plane-wave DFT calculation with SCAN was carried out for a crystal of Mg3ZnPd relaxed with PBEsol.

As for the formation energy: 0.3161 eV per atom. As for the electronic total energy: -59.63 eV/cell. The magnetic moment comes out at 0.0 μB/cell.

The space group is Pm-3m (No. 221) and the conventional cell measures 4.794, 4.794 and 4.794 Å, with angles of 90.00, 90.00 and 90.00 degrees. The inequivalent atoms are Mg at (0.000, 0.000, 0.500), Zn at (0.000, 0.000, 0.000) and Pd at (0.500, 0.500, 0.500).

---

A plane-wave DFT calculation with SCAN was carried out for a crystal of MgZnPd2 relaxed with PBEsol.

As for the formation energy: -0.6772 eV per atom. As for the electronic total energy: -346.98 eV/cell. The magnetic moment comes out at 0.0 μB/cell.

The space group is Fm-3m (No. 225) and the conventional cell measures 6.145, 6.145 and 6.145 Å, with angles of 90.00, 90.00 and 90.00 degrees. The inequivalent atoms are Mg at (0.000, 0.000, 0.000), Zn at (0.000, 0.000, 0.500) and Pd at (0.250, 0.250, 0.250).

---

A plane-wave DFT calculation with SCAN was carried out for a crystal of PmMg2 relaxed with PBEsol.

As for the formation energy: -0.1078 eV per atom. As for the electronic total energy: -434.05 eV/cell. The magnetic moment comes out at 0.0 μB/cell.

The space group is Fd-3m (No. 227, origin choice 2) and the conventional cell measures 8.548, 8.548 and 8.548 Å, with angles of 90.00, 90.00 and 90.00 degrees. The inequivalent atoms are Pm at (0.125, 0.125, 0.125) and Mg at (0.000, 0.000, 0.500).

---

A plane-wave DFT calculation with SCAN was carried out for a crystal of Pm3Mg relaxed with PBEsol.

As for the formation energy: -0.0204 eV per atom. As for the electronic total energy: -274.02 eV/cell. The magnetic moment comes out at 0.1 μB/cell.

The space group is I4/mmm (No. 139) and the conventional cell measures 4.888, 4.888 and 9.876 Å, with angles of 90.00, 90.00 and 90.00 degrees. The inequivalent atoms are Pm at (0.000, 0.000, 0.000), Pm at (0.000, 0.500, 0.250) and Mg at (0.000, 0.000, 0.500).

---

A plane-wave DFT calculation with SCAN was carried out for a crystal of Pm5Mg relaxed with PBEsol.

As for the formation energy: 0.0057 eV per atom. As for the electronic total energy: -449.74 eV/cell. The magnetic moment comes out at 0.0 μB/cell.

The space group is Amm2 (No. 38) and the conventional cell measures 5.706, 3.623 and 17.926 Å, with angles of 90.00, 90.00 and 90.00 degrees. The inequivalent atoms are Pm at (0.000, 0.000, 0.000), Pm at (0.000, 0.000, 0.325), Pm at (0.500, 0.000, 0.121), Pm at (0.500, 0.000, 0.453), Pm at (0.500, 0.000, 0.782) and Mg at (0.000, 0.000, 0.664).

---

A plane-wave DFT calculation with SCAN was carried out for a crystal of Pm2Mg relaxed with PBEsol.

As for the formation energy: -0.0787 eV per atom. As for the electronic total energy: -372.73 eV/cell. The magnetic moment comes out at 0.0 μB/cell.

The space group is Cmcm (No. 63) and the conventional cell measures 3.741, 17.142 and 5.520 Å, with angles of 90.00, 90.00 and 90.00 degrees. The inequivalent atoms are Pm at (0.000, 0.089, 0.250), Pm at (0.000, 0.229, 0.750) and Mg at (0.000, 0.431, 0.250).

---

A plane-wave DFT calculation with SCAN was carried out for a crystal of Pm2Mg relaxed with PBEsol.

As for the formation energy: -0.0615 eV per atom. As for the electronic total energy: -186.26 eV/cell. The magnetic moment comes out at 0.5 μB/cell.

The space group is I4/mmm (No. 139) and the conventional cell measures 3.590, 3.590 and 13.694 Å, with angles of 90.00, 90.00 and 90.00 degrees. The inequivalent atoms are Pm at (0.000, 0.000, 0.161) and Mg at (0.000, 0.000, 0.500).

---

A plane-wave DFT calculation with SCAN was carried out for a crystal of PmMg relaxed with PBEsol.

As for the formation energy: -0.1169 eV per atom. As for the electronic total energy: -49.19 eV/cell. The magnetic moment comes out at 0.0 μB/cell.

The space group is Pm-3m (No. 221) and the conventional cell measures 3.807, 3.807 and 3.807 Å, with angles of 90.00, 90.00 and 90.00 degrees. The inequivalent atoms are Pm at (0.000, 0.000, 0.000) and Mg at (0.500, 0.500, 0.500).

---

Question: Which of these has the highest electronic total energy?
Answer: PmMg

---

Question: What is the electronic total energy in the second record?
Answer: -203.99 eV/cell

---

Copy entry 8 word for word.
A plane-wave DFT calculation with SCAN was carried out for a crystal of Pm3Mg relaxed with PBEsol.

As for the formation energy: -0.0204 eV per atom. As for the electronic total energy: -274.02 eV/cell. The magnetic moment comes out at 0.1 μB/cell.

The space group is I4/mmm (No. 139) and the conventional cell measures 4.888, 4.888 and 9.876 Å, with angles of 90.00, 90.00 and 90.00 degrees. The inequivalent atoms are Pm at (0.000, 0.000, 0.000), Pm at (0.000, 0.500, 0.250) and Mg at (0.000, 0.000, 0.500).

---

What did the eighth record say?
A plane-wave DFT calculation with SCAN was carried out for a crystal of Pm3Mg relaxed with PBEsol.

As for the formation energy: -0.0204 eV per atom. As for the electronic total energy: -274.02 eV/cell. The magnetic moment comes out at 0.1 μB/cell.

The space group is I4/mmm (No. 139) and the conventional cell measures 4.888, 4.888 and 9.876 Å, with angles of 90.00, 90.00 and 90.00 degrees. The inequivalent atoms are Pm at (0.000, 0.000, 0.000), Pm at (0.000, 0.500, 0.250) and Mg at (0.000, 0.000, 0.500).